The following is a DFT calculation (PBE with a Hubbard U) of a relaxed Mn2RhO6 crystal.

Summary:
Volume = 11.67 Å³/atom
Space-group type = P-31m
Energy = -6.810 eV/atom

abc: 4.5163 5.1814 5.1814
angles: 120.00 90.00 90.00
Last column: nearest neighbours and their distance in Å.
Element x y z (fractional)
Mn 0.5000 0.6667 0.3333  6 O 1.96
Mn 0.5000 0.3333 0.6667  6 O 1.96
Rh 0.5000 0.0000 0.0000  6 O 2.02
O 0.2872 0.6577 0.6577  2 Mn 1.96, 1 Rh 2.02
O 0.2872 0.0000 0.3423  2 Mn 1.96, 1 Rh 2.02
O 0.2872 0.3423 0.0000  2 Mn 1.96, 1 Rh 2.02
O 0.7128 0.3423 0.3423  2 Mn 1.96, 1 Rh 2.02
O 0.7128 0.0000 0.6577  2 Mn 1.96, 1 Rh 2.02
O 0.7128 0.6577 0.0000  2 Mn 1.96, 1 Rh 2.02